Version a
Here is a relaxed structure of CaMoI2O from Alexandria. Energies are from PBE with a Hubbard U.

```
CaMoI2O
1.0
-5.365 2.378 1.810
-2.199 -0.622 -5.700
-1.303 -3.623 0.898
I Mo Ca O
2 1 1 1
Direct
0.000 0.500 0.000
0.500 0.000 0.000
0.000 0.000 0.000
0.500 0.500 0.500
0.000 0.000 0.500
```

density of states at the Fermi level = 0.24 states/eV/atom

Version b
Here is a relaxed structure of CaMoI2O from Alexandria. Energies are from PBE with a Hubbard U.

```
CaMoI2O
1.0
6.147 0.000 0.000
0.000 6.147 0.000
0.000 0.000 4.194
I Mo Ca O
2 1 1 1
Direct
0.000 0.500 0.000
0.500 0.000 0.000
0.500 0.500 0.500
0.000 0.000 0.000
0.000 0.000 0.500
```

density of states at the Fermi level = 1.37 states/eV/atom

version a comes first in stability; the runner-up is 384 meV/atom higher.

Version a
Here is a relaxed structure of CaMoIO2 from Alexandria. Energies are from PBE with a Hubbard U.

```
CaMoIO2
1.0
4.377 0.000 0.000
0.000 4.377 0.000
0.000 0.000 6.235
I Mo Ca O
1 1 1 2
Direct
0.000 0.000 0.500
0.500 0.500 0.500
0.000 0.000 0.000
0.000 0.500 0.000
0.500 0.000 0.000
```

density of states at the Fermi level = 1.17 states/eV/atom

Version b
Here is a relaxed structure of CaMoIO2 from Alexandria. Energies are from PBE with a Hubbard U.

```
CaMoIO2
1.0
4.190 0.000 0.000
0.000 4.190 0.000
0.000 0.000 5.755
I Mo Ca O
1 1 1 2
Direct
0.000 0.000 0.500
0.000 0.000 0.000
0.500 0.500 0.500
0.000 0.500 0.000
0.500 0.000 0.000
```

density of states at the Fermi level = 0.14 states/eV/atom

version b comes first in stability; the runner-up is 761 meV/atom higher.